# 1
## ZnNiAs2 (GGA-PBE)

Data for a relaxed structure of ZnNiAs2.

a b c (Å): 4.825 4.825 5.642
angles (deg): 110.57 110.57 34.08
Positions (direct):
Zn 0.000 0.000 0.000
Ni 0.272 0.272 0.012
As 0.656 0.656 0.643
As 0.846 0.846 0.384

Values from the calculation:
The magnetization comes out at 0.00 μB/f.u. The density of states at the Fermi level is 0.377 states/eV/atom. For the energy of formation from the pure elements, the calculation gives -0.007 eV/atom.

***

# 2
## Zr2NiAs2 (GGA-PBE)

Data for a relaxed structure of Zr2NiAs2.

a b c (Å): 3.947 3.947 13.200
angles (deg): 90.00 90.00 120.00
Positions (direct):
Zr 0.333 0.667 0.112
Zr 0.333 0.667 0.388
Zr 0.667 0.333 0.612
Zr 0.667 0.333 0.888
Ni 0.000 0.000 0.250
Ni 0.000 0.000 0.750
As 0.000 0.000 0.000
As 0.000 0.000 0.500
As 0.333 0.667 0.750
As 0.667 0.333 0.250

Values from the calculation:
The magnetization comes out at 0.00 μB/f.u. The density of states at the Fermi level is 0.166 states/eV/atom. For the energy of formation from the pure elements, the calculation gives -1.016 eV/atom.

***

# 3
## ZrNi4As2 (GGA-PBE)

Data for a relaxed structure of ZrNi4As2.

a b c (Å): 7.091 7.091 3.768
angles (deg): 90.00 90.00 90.00
Positions (direct):
Zr 0.000 0.000 0.000
Zr 0.500 0.500 0.500
Ni 0.090 0.345 0.500
Ni 0.155 0.590 0.000
Ni 0.345 0.090 0.500
Ni 0.410 0.845 0.000
Ni 0.590 0.155 0.000
Ni 0.655 0.910 0.500
Ni 0.845 0.410 0.000
Ni 0.910 0.655 0.500
As 0.217 0.783 0.500
As 0.283 0.283 0.000
As 0.717 0.717 0.000
As 0.783 0.217 0.500

Values from the calculation:
The magnetization comes out at 0.00 μB/f.u. The density of states at the Fermi level is 0.906 states/eV/atom. For the energy of formation from the pure elements, the calculation gives -0.550 eV/atom.